## Sn4Bi5I (GGA-PBE)

Data for a relaxed structure of Sn4Bi5I.

```
data_Sn4Bi5I
_space_group_name_H-M_alt 'P m m n'
_space_group_IT_number 59
_cell_length_a 8.680
_cell_length_b 14.804
_cell_length_c 6.159
_cell_angle_alpha 90.00
_cell_angle_beta 90.00
_cell_angle_gamma 90.00
loop_
_space_group_symop_operation_xyz
'x,y,z'
'-x,-y,-z'
'-x+1/2,-y+1/2,z'
'x+1/2,y+1/2,-z'
'x+1/2,-y,-z'
'-x+1/2,y,z'
'-x,y+1/2,-z'
'x,-y+1/2,z'
loop_
_atom_site_label
_atom_site_fract_x
_atom_site_fract_y
_atom_site_fract_z
Sn1 0.029 0.250 0.009
Sn2 0.250 0.060 0.454
Bi1 0.052 0.561 0.816
Bi2 0.250 0.250 0.635
I1 0.250 0.750 0.305
```

Electronic total energy, eV per atom: -3.627
Raw formation energy, meV/atom: 69.7
Magnetic moment, μB per formula unit: 0.00
Mass density, g cm⁻³: 6.9